Entry 1:
# CaTaAs | Alexandria | GGA-PBE | optimized geometry
data_CaTaAs
_cell_length_a 4.0298
_cell_length_b 4.0298
_cell_length_c 7.9854
_cell_angle_alpha 90.00
_cell_angle_beta 90.00
_cell_angle_gamma 90.00
_space_group_name_H-M_alt 'P 1'
_space_group_IT_number 1
_space_group_name_Hall 'P 1'
loop_
_atom_site_label
_atom_site_fract_x
_atom_site_fract_y
_atom_site_fract_z
As1 0.5000 0.0000 0.7351
As2 0.0000 0.5000 0.2649
Ca1 0.5000 0.0000 0.1480
Ca2 0.0000 0.5000 0.8520
Ta1 0.5000 0.5000 0.5000
Ta2 0.0000 0.0000 0.5000
# Calculated density   7.6 Mg/m³
# DFT formation energy   -0.6358 eV per atom


Entry 2:
# MoPd4Pt5 | Alexandria | GGA-PBE | optimized geometry
data_MoPd4Pt5
_cell_length_a 2.7826
_cell_length_b 2.7826
_cell_length_c 19.9549
_cell_angle_alpha 90.00
_cell_angle_beta 90.00
_cell_angle_gamma 90.00
_space_group_name_H-M_alt 'P 1'
_space_group_IT_number 1
_space_group_name_Hall 'P 1'
loop_
_atom_site_label
_atom_site_fract_x
_atom_site_fract_y
_atom_site_fract_z
Mo1 0.0000 0.0000 0.0000
Pd1 0.0000 0.0000 0.2002
Pd2 0.0000 0.0000 0.4005
Pd3 0.0000 0.0000 0.5995
Pd4 0.0000 0.0000 0.7998
Pt1 0.5000 0.5000 0.0964
Pt2 0.5000 0.5000 0.3010
Pt3 0.5000 0.5000 0.5000
Pt4 0.5000 0.5000 0.6990
Pt5 0.5000 0.5000 0.9036
# Calculated density   16.1 Mg/m³
# DFT formation energy   -0.1354 eV per atom